A plane-wave DFT calculation with PBE was carried out for a relaxed structure of NbB3O.

Values from the calculation:
Energy above the most stable polymorph in this dataset: 0 meV/atom
Total moment: 0.0 μB/cell
Final energy: -6.138 eV/atom

a = 3.572 Å, b = 3.572 Å, c = 3.572 Å
α = 90.00°, β = 90.00°, γ = 90.00°
Sites, in units of the cell vectors:
O: 0.000 0.000 0.000
B: 0.000 0.500 0.000
B: 0.000 0.000 0.500
Nb: 0.500 0.500 0.500
B: 0.500 0.000 0.000


A plane-wave DFT calculation with PBE was carried out for a relaxed structure of LaNd2SmIn4.

Values from the calculation:
Total moment: 0.0 μB/cell
Final energy: -4.262 eV/atom

a = 5.489 Å, b = 5.489 Å, c = 9.526 Å
α = 73.25°, β = 73.25°, γ = 60.00°
Sites, in units of the cell vectors:
Nd: 0.250 0.250 0.251
In: 0.126 0.126 0.621
In: 0.624 0.624 0.129
Sm: 0.500 0.500 0.500
La: 0.000 0.000 0.000
In: 0.376 0.376 0.871
Nd: 0.750 0.750 0.749
In: 0.874 0.874 0.379


A plane-wave DFT calculation with PBE was carried out for a relaxed structure of LaTaAl.

Values from the calculation:
Energy above the most stable polymorph in this dataset: 0 meV/atom
Total moment: 0.0 μB/cell
Final energy: -6.938 eV/atom

a = 4.118 Å, b = 4.118 Å, c = 8.849 Å
α = 90.00°, β = 90.00°, γ = 90.00°
Sites, in units of the cell vectors:
Ta: 0.000 0.000 0.500
Al: 0.000 0.500 0.285
Ta: 0.500 0.500 0.500
Al: 0.500 0.000 0.715
La: 0.000 0.500 0.843
La: 0.500 0.000 0.157


A plane-wave DFT calculation with PBE was carried out for a relaxed structure of NaSnBi3.

Values from the calculation:
Energy above the most stable polymorph in this dataset: 465 meV/atom
Total moment: 0.0 μB/cell
Final energy: -2.965 eV/atom

a = 5.901 Å, b = 5.901 Å, c = 5.901 Å
α = 90.00°, β = 90.00°, γ = 90.00°
Sites, in units of the cell vectors:
Bi: 0.000 0.500 0.000
Sn: 0.000 0.000 0.000
Na: 0.500 0.500 0.500
Bi: 0.500 0.000 0.000
Bi: 0.000 0.000 0.500


A plane-wave DFT calculation with PBE was carried out for a relaxed structure of CeGdHoHf.

Values from the calculation:
Total moment: 8.5 μB/cell
Final energy: -8.381 eV/atom

a = 5.432 Å, b = 5.432 Å, c = 5.432 Å
α = 60.00°, β = 60.00°, γ = 60.00°
Sites, in units of the cell vectors:
Ce: 0.250 0.250 0.250
Gd: 0.750 0.750 0.750
Ho: 0.000 0.000 0.000
Hf: 0.500 0.500 0.500


A plane-wave DFT calculation with PBE was carried out for a relaxed structure of BiMoRuC2.

Values from the calculation:
Total moment: 0.0 μB/cell
Final energy: -5.097 eV/atom

a = 4.301 Å, b = 5.054 Å, c = 4.301 Å
α = 90.00°, β = 90.00°, γ = 90.00°
Sites, in units of the cell vectors:
C: 0.000 0.000 0.500
Ru: 0.000 0.500 0.000
Mo: 0.500 0.500 0.500
Bi: 0.000 0.000 0.000
C: 0.500 0.000 0.000


A plane-wave DFT calculation with PBE was carried out for a relaxed structure of TlSb4P.

Values from the calculation:
Total moment: 0.0 μB/cell
Final energy: -3.543 eV/atom

a = 6.232 Å, b = 6.232 Å, c = 6.232 Å
α = 60.00°, β = 60.00°, γ = 60.00°
Sites, in units of the cell vectors:
P: 0.000 0.000 0.000
Sb: 0.880 0.373 0.373
Tl: 0.750 0.750 0.750
Sb: 0.373 0.373 0.373
Sb: 0.373 0.373 0.880
Sb: 0.373 0.880 0.373


A plane-wave DFT calculation with PBE was carried out for a relaxed structure of Pr3InNi.

Values from the calculation:
Energy above the most stable polymorph in this dataset: 0 meV/atom
Total moment: 0.0 μB/cell
Final energy: -4.836 eV/atom

a = 5.451 Å, b = 7.818 Å, c = 7.818 Å
α = 119.99°, β = 90.00°, γ = 90.00°
Sites, in units of the cell vectors:
Pr: 0.750 0.182 0.364
Pr: 0.750 0.636 0.818
Pr: 0.250 0.364 0.182
Pr: 0.250 0.818 0.182
Ni: 0.500 0.000 0.000
In: 0.750 0.667 0.333
Ni: 0.000 0.000 0.000
In: 0.250 0.333 0.667
Pr: 0.250 0.818 0.636
Pr: 0.750 0.182 0.818


A plane-wave DFT calculation with PBE was carried out for a relaxed structure of LiBNF2.

Values from the calculation:
Energy above the most stable polymorph in this dataset: 1670 meV/atom
Total moment: 1.8 μB/cell
Final energy: -3.642 eV/atom

a = 3.313 Å, b = 3.313 Å, c = 4.634 Å
α = 90.00°, β = 90.00°, γ = 90.00°
Sites, in units of the cell vectors:
Li: 0.000 0.000 0.000
N: 0.000 0.000 0.500
F: 0.500 0.000 0.000
F: 0.000 0.500 0.000
B: 0.500 0.500 0.500


A plane-wave DFT calculation with PBE was carried out for a relaxed structure of Ba8LiAg2.

Values from the calculation:
Energy above the most stable polymorph in this dataset: 6 meV/atom
Total moment: 0.0 μB/cell
Final energy: -2.131 eV/atom

a = 6.885 Å, b = 9.417 Å, c = 9.417 Å
α = 111.16°, β = 98.22°, γ = 98.22°
Sites, in units of the cell vectors:
Ba: 0.405 0.938 0.674
Ba: 0.999 0.245 0.761
Ag: 0.499 0.688 0.318
Ba: 0.198 0.379 0.379
Ba: 0.594 0.068 0.332
Ba: 0.594 0.332 0.068
Ba: 0.999 0.761 0.245
Ba: 0.405 0.674 0.938
Ba: 0.801 0.628 0.628
Li: 0.004 0.003 0.003
Ag: 0.499 0.318 0.688


A plane-wave DFT calculation with PBE was carried out for a relaxed structure of La6P2NCl3.

Values from the calculation:
Total moment: 0.0 μB/cell
Final energy: -6.175 eV/atom

a = 7.075 Å, b = 7.075 Å, c = 7.416 Å
α = 99.14°, β = 99.14°, γ = 119.89°
Sites, in units of the cell vectors:
N: 0.000 0.000 0.000
La: 0.763 0.763 0.214
La: 0.931 0.624 0.792
La: 0.069 0.376 0.208
P: 0.334 0.666 0.000
Cl: 0.823 0.177 0.500
La: 0.624 0.931 0.792
La: 0.376 0.069 0.208
La: 0.237 0.237 0.786
Cl: 0.177 0.823 0.500
Cl: 0.500 0.500 0.500
P: 0.666 0.334 0.000


A plane-wave DFT calculation with PBE was carried out for a relaxed structure of SiRuBr2.

Values from the calculation:
Energy above the most stable polymorph in this dataset: 0 meV/atom
Total moment: 0.0 μB/cell
Final energy: -4.597 eV/atom

a = 3.656 Å, b = 3.132 Å, c = 8.473 Å
α = 90.00°, β = 90.00°, γ = 90.00°
Sites, in units of the cell vectors:
Si: 0.500 0.500 0.590
Ru: 0.000 0.000 0.653
Br: 0.000 0.000 0.935
Br: 0.500 0.500 0.322